Density functional theory data (PBE) for SrCa2Ni after structural relaxation.

Values from the calculation:
**Magnetization**: 0.00 μB/f.u.
**Calculated formation energy**: 0.275 eV/atom
**Total energy**: -2.592 eV per atom
**Symmetry**: P4/mmm (123)
**N(E_F)**: 4.71 states/eV/f.u.

Cell: 4.8526 4.8526 5.3165 Å, 90.00 90.00 90.00°
Fractional coordinates of all 4 atoms:
Ni 0.5000 0.0000 0.5000
Ca 0.0000 0.0000 0.0000
Ca 0.5000 0.5000 0.0000
Sr 0.0000 0.5000 0.5000

Density functional theory data (PBE) for SrCaNi2 after structural relaxation.

Values from the calculation:
**Magnetization**: 0.00 μB/f.u.
**Calculated formation energy**: 0.373 eV/atom
**Total energy**: -3.438 eV per atom
**Symmetry**: F-43m (216)
**N(E_F)**: 1.93 states/eV/f.u.

Cell: 4.8767 4.8767 4.8767 Å, 60.00 60.00 60.00°
Fractional coordinates of all 4 atoms:
Sr 0.7500 0.7500 0.7500
Ca 0.5000 0.5000 0.5000
Ni 0.2500 0.2500 0.2500
Ni 0.0000 0.0000 0.0000

Density functional theory data (PBE) for SrCa3Ni after structural relaxation.

Values from the calculation:
**Magnetization**: 0.00 μB/f.u.
**Calculated formation energy**: -0.038 eV/atom
**Total energy**: -2.731 eV per atom
**Symmetry**: Pmma (51)
**N(E_F)**: 3.95 states/eV/f.u.

Cell: 5.5419 8.2548 8.1429 Å, 90.00 90.00 90.00°
Fractional coordinates of all 10 atoms:
Sr 0.4999 0.7500 0.0006
Sr 0.5001 0.2500 0.9994
Ca 0.5000 0.7500 0.5002
Ca 0.5000 0.2500 0.4998
Ca 0.0000 0.4996 0.2687
Ca 0.0000 0.0004 0.2687
Ca 0.0000 0.9996 0.7313
Ca 0.0000 0.5004 0.7313
Ni 0.9999 0.7500 0.4996
Ni 0.0001 0.2500 0.5004